A plane-wave DFT calculation with PBE was carried out for an optimized crystal structure of CeDyGa.

abc: 4.7692 4.7649 8.4971
angles: 106.28 90.00 120.03
Fractional coordinates of all 6 atoms:
1 Ce 0.6428 0.2856 0.9289
2 Ce 0.3572 0.7144 0.0711
3 Dy 0.2098 0.4197 0.6293
4 Dy 0.7902 0.5803 0.3707
5 Ga 0.0773 0.1547 0.2320
6 Ga 0.9227 0.8453 0.7680

Properties
E_form = -265 meV/atom
Final energy = -28.71 eV per cell
Total moment = 0.202 μB/atom
Distance to the lowest polymorph of the same formula = 0.082 eV/atom